[1]
Entry from the Open Quantum Materials Database: an optimized crystal structure of TlPt (PBE).

Cell lengths 4.370, 4.370, 4.370 Å; angles 60.00, 60.00, 60.00 degrees
Fractional coordinates of all 2 atoms:
Tl 0.000 0.000 0.000
Pt 0.250 0.250 0.250

Results
Its space group is No. 216. The calculation puts the calculated total energy at -7.6 eV per cell.

=====

[2]
Entry from the Open Quantum Materials Database: an optimized crystal structure of TlPt15 (PBE).

Cell lengths 7.881, 2.800, 36.098 Å; angles 90.00, 90.05, 90.00 degrees
Fractional coordinates of all 32 atoms:
Tl 0.125 0.250 0.310
Tl 0.875 0.750 0.690
Pt 0.116 0.250 0.743
Pt 0.118 0.250 0.824
Pt 0.123 0.250 0.902
Pt 0.125 0.250 0.137
Pt 0.125 0.250 0.218
Pt 0.126 0.250 0.058
Pt 0.126 0.250 0.980
Pt 0.366 0.750 0.257
Pt 0.368 0.750 0.176
Pt 0.373 0.750 0.098
Pt 0.375 0.750 0.713
Pt 0.375 0.750 0.788
Pt 0.375 0.750 0.863
Pt 0.376 0.750 0.019
Pt 0.376 0.750 0.941
Pt 0.624 0.250 0.059
Pt 0.624 0.250 0.981
Pt 0.625 0.250 0.137
Pt 0.625 0.250 0.212
Pt 0.625 0.250 0.287
Pt 0.627 0.250 0.902
Pt 0.632 0.250 0.824
Pt 0.634 0.250 0.743
Pt 0.874 0.750 0.020
Pt 0.874 0.750 0.942
Pt 0.875 0.750 0.782
Pt 0.875 0.750 0.863
Pt 0.877 0.750 0.098
Pt 0.882 0.750 0.176
Pt 0.884 0.750 0.257

Results
Its space group is No. 11. Its relative energy among the computed polymorphs is 58 meV per atom. The calculation puts the calculated total energy at -183.7 eV per cell.

=====

[3]
Entry from the Open Quantum Materials Database: an optimized crystal structure of TlPt15 (PBE).

Cell lengths 5.547, 3.936, 35.716 Å; angles 90.00, 90.03, 90.00 degrees
Fractional coordinates of all 32 atoms:
Tl 0.125 0.250 0.186
Tl 0.875 0.750 0.814
Pt 0.122 0.250 0.679
Pt 0.122 0.250 0.760
Pt 0.124 0.250 0.599
Pt 0.125 0.250 0.279
Pt 0.125 0.250 0.361
Pt 0.125 0.250 0.440
Pt 0.125 0.250 0.520
Pt 0.372 0.750 0.240
Pt 0.372 0.750 0.321
Pt 0.374 0.750 0.401
Pt 0.375 0.750 0.480
Pt 0.375 0.750 0.560
Pt 0.375 0.750 0.638
Pt 0.375 0.750 0.717
Pt 0.375 0.750 0.794
Pt 0.625 0.250 0.206
Pt 0.625 0.250 0.283
Pt 0.625 0.250 0.362
Pt 0.625 0.250 0.440
Pt 0.625 0.250 0.520
Pt 0.626 0.250 0.599
Pt 0.628 0.250 0.679
Pt 0.628 0.250 0.760
Pt 0.875 0.750 0.480
Pt 0.875 0.750 0.560
Pt 0.875 0.750 0.639
Pt 0.875 0.750 0.721
Pt 0.876 0.750 0.401
Pt 0.878 0.750 0.240
Pt 0.878 0.750 0.321

Results
Its space group is No. 11. Its relative energy among the computed polymorphs is 29 meV per atom. The calculation puts the calculated total energy at -184.6 eV per cell.

=====

[4]
Entry from the Open Quantum Materials Database: an optimized crystal structure of TlPt2 (PBE).

Cell lengths 5.460, 5.460, 5.460 Å; angles 60.00, 60.00, 60.00 degrees
Fractional coordinates of all 6 atoms:
Tl 0.125 0.125 0.125
Tl 0.875 0.875 0.875
Pt 0.000 0.500 0.500
Pt 0.500 0.000 0.500
Pt 0.500 0.500 0.000
Pt 0.500 0.500 0.500

Results
Its space group is No. 227. Its relative energy among the computed polymorphs is 1 meV per atom. The calculation puts the calculated total energy at -29.2 eV per cell.